Record 1
Computed, not measured: a geometry-optimized Li2UAg3Se6 structure at the PBE-GGA level of DFT.

Computed properties:
* formation energy from raw total energies: -0.64 eV/atom
* total energy: -4.350 eV per atom
* magnetic moment: 0.00 μB/cell
* space-group type: No. 12

Unit cell a=7.0254 b=7.0254 c=6.5943 alpha=100.42 beta=100.42 gamma=119.88
With the nearest neighbours (Å) after each atom.
Element x y z (fractional)
Ag 0.5000 0.5000 0.5000  6 Se 2.79-2.94
Ag 0.1420 0.8580 0.5000  4 Se 2.71-2.79
Ag 0.8580 0.1420 0.5000  4 Se 2.71-2.79
Li 0.3237 0.6763 0.0000  6 Se 2.72-2.93
Li 0.6763 0.3237 0.0000  6 Se 2.72-2.93
Se 0.7259 0.7259 0.2028  1 U 2.72, 2 Li 2.72, 3 Ag 2.79-2.94
Se 0.3992 0.0742 0.2569  2 Ag 2.71-2.79, 2 Li 2.73-2.93, 1 U 2.74
Se 0.0742 0.3992 0.2569  2 Ag 2.71-2.79, 2 Li 2.73-2.93, 1 U 2.74
Se 0.2741 0.2741 0.7972  1 U 2.72, 2 Li 2.72, 3 Ag 2.79-2.94
Se 0.9258 0.6008 0.7431  2 Ag 2.71-2.79, 2 Li 2.73-2.93, 1 U 2.74
Se 0.6008 0.9258 0.7431  2 Ag 2.71-2.79, 2 Li 2.73-2.93, 1 U 2.74
U 0.0000 0.0000 0.0000  6 Se 2.72-2.74


Record 2
Computed, not measured: a geometry-optimized LiU3Ag3Se8 structure at the PBE-GGA level of DFT.

Computed properties:
* formation energy from raw total energies: -0.77 eV/atom
* total energy: -5.586 eV per atom
* magnetic moment: 6.00 μB/cell
* space-group type: No. 166

Unit cell a=8.2629 b=8.2624 c=7.9291 alpha=121.44 beta=90.00 gamma=120.00
With the nearest neighbours (Å) after each atom.
Element x y z (fractional)
Se 0.7517 0.0092 0.2612  2 U 2.81, 1 Li 2.85, 2 Ag 2.91
Se 0.2483 0.4966 0.7387  2 U 2.81, 1 Li 2.85, 2 Ag 2.92
Se 0.7425 0.9908 0.7388  2 U 2.81, 1 Li 2.85, 2 Ag 2.91
Se 0.7517 0.5034 0.2613  2 U 2.81, 1 Li 2.85, 2 Ag 2.92
Se 0.2483 0.9908 0.7388  2 U 2.81, 1 Li 2.85, 2 Ag 2.91
Se 0.2486 0.4973 0.2462  3 Ag 2.85, 3 U 2.88
Se 0.2575 0.0092 0.2612  2 U 2.81, 1 Li 2.85, 2 Ag 2.91
Se 0.7514 0.5027 0.7538  3 Ag 2.85, 3 U 2.88
U 0.5000 0.5000 0.5000  6 Se 2.81-2.88
U 0.5000 0.0000 0.5000  6 Se 2.81-2.88
U 0.0000 0.5000 0.5000  6 Se 2.81-2.88
Li 0.0000 0.0000 0.5000  6 Se 2.85
Ag 0.5000 0.5000 0.0000  6 Se 2.85-2.92
Ag 0.0000 0.5000 0.0000  6 Se 2.85-2.92
Ag 0.0000 0.0000 0.0000  6 Se 2.85-2.91


Record 3
Computed, not measured: a geometry-optimized Li3UAg2Se6 structure at the PBE-GGA level of DFT.

Computed properties:
* formation energy from raw total energies: -0.80 eV/atom
* total energy: -4.432 eV per atom
* magnetic moment: 0.00 μB/cell
* space-group type: No. 12

Unit cell a=6.6613 b=6.6613 c=7.0103 alpha=101.24 beta=101.24 gamma=116.51
With the nearest neighbours (Å) after each atom.
Element x y z (fractional)
Li 0.5000 0.5000 0.5000  4 Se 2.70
Li 0.8403 0.1597 0.5000  6 Se 2.71-2.82
Li 0.1597 0.8403 0.5000  6 Se 2.71-2.82
Se 0.0716 0.3967 0.2679  1 Ag 2.69, 3 Li 2.70-2.82, 1 U 2.71
Se 0.2524 0.2524 0.7750  2 Ag 2.74, 3 Li 2.76-3.03, 1 U 2.77
Se 0.3967 0.0716 0.2679  1 Ag 2.69, 3 Li 2.70-2.82, 1 U 2.71
Se 0.6033 0.9284 0.7321  1 Ag 2.69, 3 Li 2.70-2.82, 1 U 2.71
Se 0.7476 0.7476 0.2250  2 Ag 2.74, 3 Li 2.76-3.03, 1 U 2.77
Se 0.9284 0.6033 0.7321  1 Ag 2.69, 3 Li 2.70-2.82, 1 U 2.71
Ag 0.6772 0.3228 0.0000  4 Se 2.69-2.74
Ag 0.3228 0.6772 0.0000  4 Se 2.69-2.74
U 0.0000 0.0000 0.0000  6 Se 2.71-2.77